Record 1
A relaxed structure of InAsCBr2, computed with PBE-GGA.

Output
volume	24.46	Å³/atom
formation energy from raw total energies	4.11	eV/f.u.
excess energy over the best structure of this formula in the dataset	0.000	eV/atom

a b c (Å): 5.520 5.520 4.013
angles (deg): 90.00 90.00 90.00
Space group P4/mmm (No. 123)
Asymmetric unit:
1 In 0.000 0.000 0.000 (multiplicity 1)
2 As 0.500 0.500 0.000 (multiplicity 1)
3 C 0.500 0.500 0.500 (multiplicity 1)
4 Br 0.000 0.500 0.500 (multiplicity 2)

=====

Record 2
A relaxed structure of InAs2CBr, computed with PBE-GGA.

Output
volume	30.93	Å³/atom
formation energy from raw total energies	9.70	eV/f.u.
excess energy over the best structure of this formula in the dataset	1.091	eV/atom

a b c (Å): 5.336 5.336 5.430
angles (deg): 90.00 90.00 90.00
Space group P4/mmm (No. 123)
Asymmetric unit:
1 In 0.000 0.000 0.000 (multiplicity 1)
2 As 0.000 0.500 0.000 (multiplicity 2)
3 C 0.500 0.500 0.500 (multiplicity 1)
4 Br 0.000 0.000 0.500 (multiplicity 1)